Material: Ag2Bi4Br
Method: DFT, GGA-PBE
State: optimized geometry

As for the theoretical density: 7.39 Mg/m³. Its uncorrected energy is -2.76 eV per atom. The space group is I4/mmm.

Unit cell a=5.565 b=5.565 c=9.105 alpha=72.20 beta=72.20 gamma=90.00
Atoms (fractional coordinates):
Br (0.000, 0.000, 0.000)
Bi (0.751, 0.751, 0.498)
Bi (0.249, 0.249, 0.502)
Bi (0.000, 0.500, 0.000)
Bi (0.500, 0.000, 0.000)
Ag (0.584, 0.584, 0.831)
Ag (0.416, 0.416, 0.169)

=====

Material: UFeOs
Method: DFT, GGA-PBE
State: optimized geometry

As for the theoretical density: 15.84 Mg/m³. Its uncorrected energy is -10.15 eV per atom. The space group is I4mm.

Unit cell a=3.634 b=3.634 c=4.623 alpha=113.14 beta=113.14 gamma=90.00
Last column: magnetic moment on the atom in μB.
Atoms (fractional coordinates):
U (0.606, 0.606, 0.211)  -0.90
Os (0.931, 0.931, 0.862)  0.20
Fe (0.313, 0.313, 0.627)  1.10